(1)
A relaxed Ti2VAu crystal. Source: the Alexandria database, functional GGA-PBE.

```
Ti2VAu
1.0
3.158 0.000 0.000
0.000 3.158 0.000
0.000 0.000 6.440
Ti Au V
2 1 1
direct
0.000 0.000 0.773
0.000 0.000 0.227
0.500 0.500 0.500
0.500 0.500 0.000
```

The total moment is 0.000 μB per atom. Its energy above the lowest structure with this stoichiometry is 0 meV per atom. Its space-group type is P4/mmm, No. 123. Its formation energy is -0.24 eV per atom.


(2)
A relaxed V7Mo2W2 crystal. Source: the Alexandria database, functional GGA-PBE.

```
V7Mo2W2
1.0
6.386 0.640 0.924
0.087 5.331 -0.030
0.087 -1.900 4.981
V W Mo
7 2 2
direct
0.830 0.924 0.444
0.000 0.000 0.000
0.170 0.076 0.556
0.509 0.239 0.239
0.830 0.444 0.924
0.170 0.556 0.076
0.491 0.761 0.761
0.500 0.748 0.252
0.500 0.252 0.748
0.167 0.584 0.584
0.833 0.416 0.416
```

The total moment is 0.000 μB per atom. Its energy above the lowest structure with this stoichiometry is 349 meV per atom. Its space-group type is C2/m, No. 12. Its formation energy is 0.26 eV per atom.


(3)
A relaxed KZn2Rh crystal. Source: the Alexandria database, functional GGA-PBE.

```
KZn2Rh
1.0
-0.810 -1.794 -2.815
3.074 -1.530 0.090
-2.897 -5.563 4.379
Zn Rh K
2 1 1
direct
0.000 0.000 0.944
0.500 0.500 0.180
0.500 0.500 0.857
0.000 0.000 0.519
```

The total moment is 0.000 μB per atom. Its energy above the lowest structure with this stoichiometry is 167 meV per atom. Its space-group type is P4mm, No. 99. Its formation energy is 0.06 eV per atom.